ZrGaCo after structural relaxation. Source: the Open Quantum Materials Database, functional PBE-GGA. Values from VASP.

```
&SYSTEM
  ibrav = 0, nat = 3, ntyp = 3
/
ATOMIC_SPECIES
Zr 91.22 Zr.upf
Ga 69.72 Ga.upf
Co 58.93 Co.upf
CELL_PARAMETERS angstrom
0.000 3.065 3.065
3.065 0.000 3.065
3.065 3.065 0.000
ATOMIC_POSITIONS angstrom
Zr 0.000 0.000 0.000
Ga 1.532 1.532 1.532
Co 4.597 4.597 4.597
```

Calculated values
Spin magnetization ... 0.095 μB per atom
VASP energy ... -5.861 eV/atom


ZrGaCo after structural relaxation. Source: the Open Quantum Materials Database, functional PBE-GGA. Values from VASP.

```
&SYSTEM
  ibrav = 0, nat = 9, ntyp = 3
/
ATOMIC_SPECIES
Zr 91.22 Zr.upf
Ga 69.72 Ga.upf
Co 58.93 Co.upf
CELL_PARAMETERS angstrom
7.608 0.000 0.000
-3.804 6.589 0.000
0.000 0.000 2.877
ATOMIC_POSITIONS angstrom
Zr -1.134 1.965 0.000
Zr 2.269 0.000 0.000
Zr 2.670 4.624 0.000
Ga 0.000 0.000 1.438
Ga 0.000 4.393 0.000
Ga 3.804 2.196 0.000
Co -2.385 4.131 1.438
Co 1.419 2.458 1.438
Co 4.770 0.000 1.438
```

Calculated values
Spin magnetization ... 0.001 μB per atom
VASP energy ... -6.319 eV/atom


ZrGaCo after structural relaxation. Source: the Open Quantum Materials Database, functional PBE-GGA. Values from VASP.

```
&SYSTEM
  ibrav = 0, nat = 9, ntyp = 3
/
ATOMIC_SPECIES
Zr 91.22 Zr.upf
Ga 69.72 Ga.upf
Co 58.93 Co.upf
CELL_PARAMETERS angstrom
6.575 0.000 0.000
-3.288 5.695 0.000
0.000 0.000 3.777
ATOMIC_POSITIONS angstrom
Zr -1.904 3.298 0.000
Zr 1.383 2.396 0.000
Zr 3.809 0.000 0.000
Ga 0.000 0.000 0.000
Ga 0.000 3.796 1.889
Ga 3.288 1.898 1.889
Co -0.786 1.361 1.889
Co 1.571 0.000 1.889
Co 2.502 4.334 1.889
```

Calculated values
Spin magnetization ... 0.002 μB per atom
VASP energy ... -6.692 eV/atom


ZrGaCo after structural relaxation. Source: the Open Quantum Materials Database, functional PBE-GGA. Values from VASP.

```
&SYSTEM
  ibrav = 0, nat = 9, ntyp = 3
/
ATOMIC_SPECIES
Zr 91.22 Zr.upf
Ga 69.72 Ga.upf
Co 58.93 Co.upf
CELL_PARAMETERS angstrom
6.930 0.000 0.000
-3.465 6.001 0.000
0.000 0.000 3.374
ATOMIC_POSITIONS angstrom
Zr -2.062 3.571 0.000
Zr 1.403 2.430 0.000
Zr 4.123 0.000 0.000
Ga -0.902 1.563 1.687
Ga 1.804 0.000 1.687
Ga 2.563 4.439 1.687
Co 0.000 0.000 0.000
Co 0.000 4.001 1.687
Co 3.465 2.000 1.687
```

Calculated values
Spin magnetization ... 0.000 μB per atom
VASP energy ... -6.783 eV/atom


Gd2Co after structural relaxation. Source: the Open Quantum Materials Database, functional PBE-GGA. Values from VASP.

```
&SYSTEM
  ibrav = 0, nat = 6, ntyp = 2
/
ATOMIC_SPECIES
Gd 157.25 Gd.upf
Co 58.93 Co.upf
CELL_PARAMETERS angstrom
0.000 4.221 4.221
4.221 0.000 4.221
4.221 4.221 0.000
ATOMIC_POSITIONS angstrom
Gd 0.000 0.000 0.000
Gd 2.110 2.110 0.000
Gd 2.110 0.000 2.110
Gd 0.000 2.110 2.110
Co 3.166 3.166 3.166
Co 5.276 5.276 5.276
```

Calculated values
ΔH_f (0 K) ... 1.09 eV/atom
Spin magnetization ... 0.454 μB per atom


Gd5Co2 after structural relaxation. Source: the Open Quantum Materials Database, functional PBE-GGA. Values from VASP.

```
&SYSTEM
  ibrav = 0, nat = 14, ntyp = 2
/
ATOMIC_SPECIES
Gd 157.25 Gd.upf
Co 58.93 Co.upf
CELL_PARAMETERS angstrom
8.084 -3.167 0.000
8.084 3.167 0.000
-0.796 0.000 6.891
ATOMIC_POSITIONS angstrom
Gd 7.487 2.730 5.168
Gd 3.222 0.435 2.180
Gd 2.824 -0.435 5.625
Gd 6.481 0.675 0.594
Gd 9.289 0.675 2.851
Gd 6.083 -0.675 4.040
Gd 8.891 -0.675 6.297
Gd 12.548 0.435 1.266
Gd 12.150 -0.435 4.711
Gd 7.885 -2.730 1.723
Co 5.948 1.840 2.946
Co 9.822 1.840 0.499
Co 5.550 -1.840 6.392
Co 9.424 -1.840 3.945
```

Calculated values
ΔH_f (0 K) ... -0.15 eV/atom
Spin magnetization ... 0.000 μB per atom


Gd3Co2 after structural relaxation. Source: the Open Quantum Materials Database, functional PBE-GGA. Values from VASP.

```
&SYSTEM
  ibrav = 0, nat = 10, ntyp = 2
/
ATOMIC_SPECIES
Gd 157.25 Gd.upf
Co 58.93 Co.upf
CELL_PARAMETERS angstrom
3.339 1.928 6.113
-3.339 1.928 6.113
0.000 -3.856 6.113
ATOMIC_POSITIONS angstrom
Gd -2.161 0.112 7.641
Gd -1.178 -1.815 10.697
Gd 0.983 -1.928 7.641
Gd -0.983 1.928 10.697
Gd 1.178 1.815 7.641
Gd 2.161 -0.112 10.697
Co 0.000 0.000 3.272
Co 0.000 0.000 5.898
Co 0.000 0.000 12.441
Co 0.000 0.000 15.067
```

Calculated values
ΔH_f (0 K) ... -0.08 eV/atom
Spin magnetization ... 0.000 μB per atom


GdCo after structural relaxation. Source: the Open Quantum Materials Database, functional PBE-GGA. Values from VASP.

```
&SYSTEM
  ibrav = 0, nat = 4, ntyp = 2
/
ATOMIC_SPECIES
Gd 157.25 Gd.upf
Co 58.93 Co.upf
CELL_PARAMETERS angstrom
4.473 0.000 0.000
-2.237 3.874 0.000
0.000 0.000 5.570
ATOMIC_POSITIONS angstrom
Gd 0.000 2.583 0.000
Gd 2.237 1.291 2.785
Co 0.000 2.583 2.791
Co 2.237 1.291 0.006
```

Calculated values
ΔH_f (0 K) ... 0.58 eV/atom
Spin magnetization ... 0.000 μB per atom


Gd2Co17 after structural relaxation. Source: the Open Quantum Materials Database, functional PBE-GGA. Values from VASP.

```
&SYSTEM
  ibrav = 0, nat = 19, ntyp = 2
/
ATOMIC_SPECIES
Gd 157.25 Gd.upf
Co 58.93 Co.upf
CELL_PARAMETERS angstrom
4.139 2.390 4.020
-4.139 2.390 4.020
0.000 -4.780 4.020
ATOMIC_POSITIONS angstrom
Gd 0.000 0.000 1.872
Gd 0.000 0.000 10.187
Co -2.070 -1.195 4.020
Co 0.000 -2.367 3.856
Co -2.050 1.183 3.856
Co -1.192 -2.065 6.030
Co -2.384 0.000 6.030
Co -2.050 -1.183 8.203
Co 0.000 0.000 4.867
Co -2.070 1.195 8.040
Co 1.192 -2.065 6.030
Co 0.000 2.390 4.020
Co -1.192 2.065 6.030
Co 0.000 0.000 7.192
Co 2.050 1.183 3.856
Co 2.384 0.000 6.030
Co 1.192 2.065 6.030
Co 2.050 -1.183 8.203
Co 0.000 2.367 8.203
```

Calculated values
Offset from the most stable computed form ... 2.4 meV per atom
ΔH_f (0 K) ... 0.10 eV/atom
Spin magnetization ... 0.008 μB per atom


Gd2Co17 after structural relaxation. Source: the Open Quantum Materials Database, functional PBE-GGA. Values from VASP.

```
&SYSTEM
  ibrav = 0, nat = 38, ntyp = 2
/
ATOMIC_SPECIES
Gd 157.25 Gd.upf
Co 58.93 Co.upf
CELL_PARAMETERS angstrom
8.276 0.000 0.000
-4.138 7.167 0.000
0.000 0.000 8.060
ATOMIC_POSITIONS angstrom
Gd 0.000 0.000 2.015
Gd 0.000 0.000 6.045
Gd 0.000 4.778 2.015
Gd 4.138 2.389 6.045
Co -2.069 3.584 0.000
Co -2.069 3.584 4.030
Co -1.164 2.691 6.045
Co -2.390 4.814 6.045
Co 0.000 2.391 0.175
Co 0.000 2.391 3.854
Co -2.067 5.972 0.175
Co -2.067 5.972 3.854
Co 1.164 2.691 6.045
Co -1.225 6.830 6.045
Co 0.000 4.778 4.888
Co 0.000 4.778 7.202
Co 2.071 1.196 4.205
Co 2.071 1.196 7.884
Co 2.912 0.337 2.015
Co 1.748 2.354 2.015
Co 4.138 0.000 0.000
Co 4.138 0.000 4.030
Co 2.069 3.584 0.000
Co 2.069 3.584 4.030
Co 2.390 4.814 6.045
Co 1.225 6.830 6.045
Co 2.067 5.972 0.175
Co 2.067 5.972 3.854
Co 4.138 2.389 0.858
Co 4.138 2.389 3.172
Co 5.363 0.337 2.015
Co 2.974 4.476 2.015
Co 6.205 1.196 4.205
Co 6.205 1.196 7.884
Co 4.138 4.776 4.205
Co 4.138 4.776 7.884
Co 6.527 2.354 2.015
Co 5.302 4.476 2.015
```

Calculated values
Offset from the most stable computed form ... 0.0 meV per atom
ΔH_f (0 K) ... 0.09 eV/atom
Spin magnetization ... 0.008 μB per atom


GdCo5 after structural relaxation. Source: the Open Quantum Materials Database, functional PBE-GGA. Values from VASP.

```
&SYSTEM
  ibrav = 0, nat = 6, ntyp = 2
/
ATOMIC_SPECIES
Gd 157.25 Gd.upf
Co 58.93 Co.upf
CELL_PARAMETERS angstrom
4.916 0.000 0.000
-2.458 4.258 0.000
0.000 0.000 3.925
ATOMIC_POSITIONS angstrom
Gd 0.000 0.000 0.000
Co -1.229 2.129 1.963
Co 0.000 2.839 0.000
Co 2.458 0.000 1.963
Co 1.229 2.129 1.963
Co 2.458 1.419 0.000
```

Calculated values
Offset from the most stable computed form ... 0.0 meV per atom
ΔH_f (0 K) ... -0.09 eV/atom
Spin magnetization ... 1.162 μB per atom


GdCo after structural relaxation. Source: the Open Quantum Materials Database, functional PBE-GGA. Values from VASP.

```
&SYSTEM
  ibrav = 0, nat = 8, ntyp = 2
/
ATOMIC_SPECIES
Gd 157.25 Gd.upf
Co 58.93 Co.upf
CELL_PARAMETERS angstrom
5.965 0.000 0.000
0.000 3.318 0.000
0.000 0.000 8.039
ATOMIC_POSITIONS angstrom
Gd 0.161 0.829 1.484
Gd 2.822 2.488 5.504
Gd 3.143 0.829 2.536
Gd 5.804 2.488 6.555
Co 0.806 0.829 4.228
Co 2.176 2.488 0.209
Co 3.789 0.829 7.831
Co 5.159 2.488 3.811
```

Calculated values
ΔH_f (0 K) ... 0.15 eV/atom
Spin magnetization ... 0.158 μB per atom


GdCo after structural relaxation. Source: the Open Quantum Materials Database, functional PBE-GGA. Values from VASP.

```
&SYSTEM
  ibrav = 0, nat = 2, ntyp = 2
/
ATOMIC_SPECIES
Gd 157.25 Gd.upf
Co 58.93 Co.upf
CELL_PARAMETERS angstrom
0.000 2.946 2.946
2.946 0.000 2.946
2.946 2.946 0.000
ATOMIC_POSITIONS angstrom
Gd 0.000 0.000 0.000
Co 1.473 1.473 1.473
```

Calculated values
ΔH_f (0 K) ... 0.89 eV/atom
Spin magnetization ... 0.004 μB per atom


GdCo after structural relaxation. Source: the Open Quantum Materials Database, functional PBE-GGA. Values from VASP.

```
&SYSTEM
  ibrav = 0, nat = 2, ntyp = 2
/
ATOMIC_SPECIES
Gd 157.25 Gd.upf
Co 58.93 Co.upf
CELL_PARAMETERS angstrom
0.000 2.757 2.757
2.757 0.000 2.757
2.757 2.757 0.000
ATOMIC_POSITIONS angstrom
Gd 0.000 0.000 0.000
Co 2.757 2.757 2.757
```

Calculated values
ΔH_f (0 K) ... 0.21 eV/atom
Spin magnetization ... 0.023 μB per atom


GdCo after structural relaxation. Source: the Open Quantum Materials Database, functional PBE-GGA. Values from VASP.

```
&SYSTEM
  ibrav = 0, nat = 8, ntyp = 2
/
ATOMIC_SPECIES
Gd 157.25 Gd.upf
Co 58.93 Co.upf
CELL_PARAMETERS angstrom
7.387 0.000 0.000
0.000 3.852 0.000
0.000 0.000 5.623
ATOMIC_POSITIONS angstrom
Gd 1.315 0.963 0.684
Gd 2.379 2.889 3.496
Gd 5.008 0.963 2.128
Gd 6.072 2.889 4.939
Co 0.214 0.963 3.381
Co 3.479 2.889 0.570
Co 3.908 0.963 5.054
Co 7.173 2.889 2.242
```

Calculated values
ΔH_f (0 K) ... -0.16 eV/atom
Spin magnetization ... 0.001 μB per atom


GdCo6Ge6 after structural relaxation. Source: the Open Quantum Materials Database, functional PBE-GGA. Values from VASP.

```
&SYSTEM
  ibrav = 0, nat = 13, ntyp = 3
/
ATOMIC_SPECIES
Gd 157.25 Gd.upf
Co 58.93 Co.upf
Ge 72.64 Ge.upf
CELL_PARAMETERS angstrom
5.103 0.000 0.000
-2.551 4.419 0.000
0.000 0.000 7.855
ATOMIC_POSITIONS angstrom
Gd 0.000 0.000 0.000
Co -1.276 2.210 1.975
Co -1.276 2.210 5.880
Co 2.551 0.000 1.975
Co 2.551 0.000 5.880
Co 1.276 2.210 1.975
Co 1.276 2.210 5.880
Ge 0.000 0.000 2.716
Ge 0.000 0.000 5.139
Ge 0.000 2.946 0.000
Ge 0.000 2.946 3.927
Ge 2.551 1.473 0.000
Ge 2.551 1.473 3.927
```

Calculated values
Spin magnetization ... 0.000 μB per atom
VASP energy ... -6.108 eV/atom


Gd3Co2Ge3 after structural relaxation. Source: the Open Quantum Materials Database, functional PBE-GGA. Values from VASP.

```
&SYSTEM
  ibrav = 0, nat = 16, ntyp = 3
/
ATOMIC_SPECIES
Gd 157.25 Gd.upf
Co 58.93 Co.upf
Ge 72.64 Ge.upf
CELL_PARAMETERS angstrom
2.094 -5.319 0.000
2.094 5.319 0.000
0.000 0.000 14.024
ATOMIC_POSITIONS angstrom
Gd 2.094 4.446 8.556
Gd 2.094 4.446 12.480
Gd 2.094 1.478 10.518
Gd 2.094 -1.478 3.506
Gd 2.094 -4.446 1.544
Gd 2.094 -4.446 5.468
Co 2.094 3.050 1.247
Co 2.094 3.050 5.765
Co 2.094 -3.050 8.259
Co 2.094 -3.050 12.777
Ge 2.094 1.769 3.506
Ge 2.094 1.335 7.583
Ge 2.094 1.335 13.454
Ge 2.094 -1.335 0.571
Ge 2.094 -1.335 6.441
Ge 2.094 -1.769 10.518
```

Calculated values
Spin magnetization ... 0.064 μB per atom
VASP energy ... -5.950 eV/atom


GdCo2Ge2 after structural relaxation. Source: the Open Quantum Materials Database, functional PBE-GGA. Values from VASP.

```
&SYSTEM
  ibrav = 0, nat = 5, ntyp = 3
/
ATOMIC_SPECIES
Gd 157.25 Gd.upf
Co 58.93 Co.upf
Ge 72.64 Ge.upf
CELL_PARAMETERS angstrom
-1.988 1.988 5.073
1.988 -1.988 5.073
1.988 1.988 -5.073
ATOMIC_POSITIONS angstrom
Gd 0.000 0.000 0.000
Co 1.988 0.000 2.536
Co 0.000 1.988 2.536
Ge 0.000 0.000 3.769
Ge 0.000 0.000 6.376
```

Calculated values
Spin magnetization ... 0.006 μB per atom
VASP energy ... -6.237 eV/atom


Gd3Co4Ge13 after structural relaxation. Source: the Open Quantum Materials Database, functional PBE-GGA. Values from VASP.

```
&SYSTEM
  ibrav = 0, nat = 40, ntyp = 3
/
ATOMIC_SPECIES
Gd 157.25 Gd.upf
Co 58.93 Co.upf
Ge 72.64 Ge.upf
CELL_PARAMETERS angstrom
8.816 0.000 0.000
0.000 8.816 0.000
0.000 0.000 8.816
ATOMIC_POSITIONS angstrom
Gd 0.000 2.204 4.408
Gd 0.000 6.612 4.408
Gd 2.204 4.408 0.000
Gd 4.408 0.000 2.204
Gd 4.408 0.000 6.612
Gd 6.612 4.408 0.000
Co 2.204 2.204 2.204
Co 2.204 2.204 6.612
Co 2.204 6.612 2.204
Co 2.204 6.612 6.612
Co 6.612 2.204 2.204
Co 6.612 2.204 6.612
Co 6.612 6.612 2.204
Co 6.612 6.612 6.612
Ge 0.000 0.000 0.000
Ge 0.000 2.669 1.346
Ge 0.000 2.669 7.471
Ge 0.000 6.147 1.346
Ge 0.000 6.147 7.471
Ge 1.346 0.000 2.669
Ge 1.346 0.000 6.147
Ge 1.739 4.408 3.063
Ge 1.739 4.408 5.754
Ge 2.669 1.346 0.000
Ge 2.669 7.471 0.000
Ge 3.063 1.739 4.408
Ge 3.063 7.077 4.408
Ge 4.408 3.063 1.739
Ge 4.408 3.063 7.077
Ge 4.408 4.408 4.408
Ge 4.408 5.754 1.739
Ge 4.408 5.754 7.077
Ge 5.754 1.739 4.408
Ge 5.754 7.077 4.408
Ge 6.147 1.346 0.000
Ge 6.147 7.471 0.000
Ge 7.077 4.408 3.063
Ge 7.077 4.408 5.754
Ge 7.471 0.000 2.669
Ge 7.471 0.000 6.147
```

Calculated values
Spin magnetization ... 0.000 μB per atom
VASP energy ... -5.537 eV/atom


GdCoGe after structural relaxation. Source: the Open Quantum Materials Database, functional PBE-GGA. Values from VASP.

```
&SYSTEM
  ibrav = 0, nat = 3, ntyp = 3
/
ATOMIC_SPECIES
Gd 157.25 Gd.upf
Co 58.93 Co.upf
Ge 72.64 Ge.upf
CELL_PARAMETERS angstrom
0.000 3.225 3.225
3.225 0.000 3.225
3.225 3.225 0.000
ATOMIC_POSITIONS angstrom
Gd 0.000 0.000 0.000
Co 4.837 4.837 4.837
Ge 1.612 1.612 1.612
```

Calculated values
Spin magnetization ... 0.412 μB per atom
VASP energy ... -5.003 eV/atom


Gd3Co2Ge4 after structural relaxation. Source: the Open Quantum Materials Database, functional PBE-GGA. Values from VASP.

```
&SYSTEM
  ibrav = 0, nat = 9, ntyp = 3
/
ATOMIC_SPECIES
Gd 157.25 Gd.upf
Co 58.93 Co.upf
Ge 72.64 Ge.upf
CELL_PARAMETERS angstrom
5.383 -2.085 0.000
5.383 2.085 0.000
-2.460 0.000 7.695
ATOMIC_POSITIONS angstrom
Gd 0.000 0.000 0.000
Gd 3.307 0.000 2.367
Gd 5.000 0.000 5.327
Co 1.763 0.000 4.829
Co 6.543 0.000 2.866
Ge 0.095 0.000 3.073
Ge 0.869 0.000 7.069
Ge 7.437 0.000 0.626
Ge 8.211 0.000 4.622
```

Calculated values
Spin magnetization ... 0.002 μB per atom
VASP energy ... -5.904 eV/atom


GdCoGe after structural relaxation. Source: the Open Quantum Materials Database, functional PBE-GGA. Values from VASP.

```
&SYSTEM
  ibrav = 0, nat = 3, ntyp = 3
/
ATOMIC_SPECIES
Gd 157.25 Gd.upf
Co 58.93 Co.upf
Ge 72.64 Ge.upf
CELL_PARAMETERS angstrom
0.000 3.097 3.097
3.097 0.000 3.097
3.097 3.097 0.000
ATOMIC_POSITIONS angstrom
Gd 0.000 0.000 0.000
Co 1.549 1.549 1.549
Ge 3.097 3.097 3.097
```

Calculated values
Spin magnetization ... 0.370 μB per atom
VASP energy ... -5.782 eV/atom